Model one:
Compound: Al2CuAu8
Source: Alexandria via LeMat-Bulk
Functional: PBE
Structure: optimized geometry

## Properties
ρ in Mg/m³: 13.32
Space-group type: C2/m, No. 12

Unit cell a=6.907 b=6.907 c=4.651 alpha=101.08 beta=101.08 gamma=79.27
Element x y z (fractional)
Al (0.149, 0.149, 0.047)
Al (0.851, 0.851, 0.953)
Cu (0.000, 0.000, 0.500)
Au (0.155, 0.671, 0.713)
Au (0.255, 0.255, 0.617)
Au (0.329, 0.845, 0.287)
Au (0.413, 0.413, 0.207)
Au (0.587, 0.587, 0.793)
Au (0.671, 0.155, 0.713)
Au (0.745, 0.745, 0.383)
Au (0.845, 0.329, 0.287)

Model two:
Compound: Al2CuAu8
Source: Alexandria via LeMat-Bulk
Functional: PBE
Structure: optimized geometry

## Properties
ρ in Mg/m³: 14.62
Space-group type: P1, No. 1

Unit cell a=5.022 b=5.696 c=7.581 alpha=106.75 beta=109.14 gamma=94.76
Element x y z (fractional)
Al (0.000, 0.000, 0.000)
Al (0.459, 0.270, 0.648)
Cu (0.727, 0.633, 0.324)
Au (0.010, 0.264, 0.353)
Au (0.092, 0.513, 0.092)
Au (0.368, 0.756, 0.556)
Au (0.450, 0.005, 0.295)
Au (0.506, 0.202, 0.990)
Au (0.545, 0.689, 0.951)
Au (0.915, 0.581, 0.698)
Au (0.953, 0.067, 0.657)

Verdict on stability: model one comes out at the bottom.

Model one:
Compound: Al2Cu5Au2
Source: Alexandria via LeMat-Bulk
Functional: PBE
Structure: optimized geometry

## Properties
ρ in Mg/m³: 9.47
Space-group type: Imma, No. 74

Unit cell a=9.158 b=9.158 c=9.158 alpha=147.45 beta=53.16 gamma=139.17
Element x y z (fractional)
Al (0.165, 0.099, 0.066)
Al (0.468, 0.901, 0.566)
Al (0.532, 0.099, 0.434)
Al (0.835, 0.901, 0.934)
Cu (0.133, 0.000, 0.633)
Cu (0.133, 0.500, 0.133)
Cu (0.221, 0.971, 0.250)
Cu (0.425, 0.000, 0.925)
Cu (0.425, 0.500, 0.425)
Cu (0.575, 0.000, 0.075)
Cu (0.575, 0.500, 0.575)
Cu (0.779, 0.029, 0.750)
Cu (0.867, 0.000, 0.367)
Cu (0.867, 0.500, 0.867)
Au (0.000, 0.500, 0.500)
Au (0.175, 0.425, 0.750)
Au (0.500, 0.500, 0.000)
Au (0.825, 0.575, 0.250)

Model two:
Compound: Al2Cu5Au2
Source: Alexandria via LeMat-Bulk
Functional: PBE
Structure: optimized geometry

## Properties
ρ in Mg/m³: 9.92
Space-group type: C2/m, No. 12

Unit cell a=4.866 b=4.866 c=7.116 alpha=103.16 beta=103.16 gamma=51.83
Element x y z (fractional)
Al (0.078, 0.078, 0.272)
Al (0.922, 0.922, 0.728)
Cu (0.180, 0.180, 0.955)
Cu (0.270, 0.270, 0.620)
Cu (0.500, 0.500, 0.000)
Cu (0.730, 0.730, 0.380)
Cu (0.820, 0.820, 0.045)
Au (0.396, 0.396, 0.309)
Au (0.604, 0.604, 0.691)

Verdict on stability: model one comes out at the bottom.

Model one:
Compound: Al4CuAu
Source: Alexandria via LeMat-Bulk
Functional: PBE
Structure: optimized geometry

## Properties
ρ in Mg/m³: 5.87
Space-group type: P4/mmm, No. 123

Unit cell a=4.149 b=4.149 c=6.051 alpha=90.00 beta=90.00 gamma=90.00
Element x y z (fractional)
Al (0.000, 0.500, 0.234)
Al (0.000, 0.500, 0.766)
Al (0.500, 0.000, 0.234)
Al (0.500, 0.000, 0.766)
Cu (0.000, 0.000, 0.000)
Au (0.500, 0.500, 0.500)

Model two:
Compound: Al4CuAu
Source: Alexandria via LeMat-Bulk
Functional: PBE
Structure: optimized geometry

## Properties
ρ in Mg/m³: 6.02
Space-group type: F-43m, No. 216

Unit cell a=5.237 b=5.237 c=5.237 alpha=60.00 beta=60.00 gamma=60.00
Element x y z (fractional)
Al (0.376, 0.376, 0.376)
Al (0.376, 0.376, 0.873)
Al (0.376, 0.873, 0.376)
Al (0.873, 0.376, 0.376)
Cu (0.750, 0.750, 0.750)
Au (0.000, 0.000, 0.000)

Verdict on stability: model two comes out at the bottom.

Model one:
Compound: Al2Cu4Au
Source: Alexandria via LeMat-Bulk
Functional: PBE
Structure: optimized geometry

## Properties
ρ in Mg/m³: 8.70
Space-group type: P-1, No. 2

Unit cell a=4.258 b=5.406 c=8.956 alpha=74.49 beta=76.41 gamma=89.89
Element x y z (fractional)
Al (0.136, 0.049, 0.227)
Al (0.144, 0.549, 0.215)
Al (0.856, 0.451, 0.785)
Al (0.864, 0.951, 0.773)
Cu (0.006, 0.244, 0.483)
Cu (0.269, 0.397, 0.960)
Cu (0.272, 0.900, 0.955)
Cu (0.415, 0.767, 0.675)
Cu (0.585, 0.233, 0.325)
Cu (0.728, 0.100, 0.045)
Cu (0.731, 0.603, 0.040)
Cu (0.994, 0.756, 0.517)
Au (0.417, 0.274, 0.662)
Au (0.583, 0.726, 0.338)

Model two:
Compound: Al2Cu4Au
Source: Alexandria via LeMat-Bulk
Functional: PBE
Structure: optimized geometry

## Properties
ρ in Mg/m³: 6.06
Space-group type: I4/mmm, No. 139

Unit cell a=7.019 b=7.019 c=7.019 alpha=140.54 beta=140.54 gamma=57.03
Element x y z (fractional)
Al (0.107, 0.107, 0.000)
Al (0.893, 0.893, 0.000)
Cu (0.000, 0.500, 0.500)
Cu (0.295, 0.295, 0.000)
Cu (0.500, 0.000, 0.500)
Cu (0.705, 0.705, 0.000)
Au (0.500, 0.500, 0.000)

Model three:
Compound: Al2Cu4Au
Source: Alexandria via LeMat-Bulk
Functional: PBE
Structure: optimized geometry

## Properties
ρ in Mg/m³: 8.25
Space-group type: I4/mmm, No. 139

Unit cell a=9.091 b=9.091 c=9.091 alpha=158.41 beta=158.41 gamma=30.73
Element x y z (fractional)
Al (0.098, 0.098, 0.000)
Al (0.902, 0.902, 0.000)
Cu (0.250, 0.750, 0.500)
Cu (0.354, 0.354, 0.000)
Cu (0.646, 0.646, 0.000)
Cu (0.750, 0.250, 0.500)
Au (0.500, 0.500, 0.000)

Verdict on stability: model two comes out at the bottom.